CdNi2Sb: optimized geometry, GGA-PBE.

Structure (CIF):
```
data_CdNi2Sb
_symmetry_space_group_name_H-M 'P 1'
_symmetry_Int_Tables_number 1
_cell_length_a 4.083
_cell_length_b 3.353
_cell_length_c 5.114
_cell_angle_alpha 71.00
_cell_angle_beta 90.00
_cell_angle_gamma 90.00
loop_
_symmetry_equiv_pos_as_xyz
'x,y,z'
loop_
_atom_site_label
_atom_site_fract_x
_atom_site_fract_y
_atom_site_fract_z
Cd1 0.500 0.769 0.837
Ni1 0.000 0.201 0.973
Ni2 0.500 0.048 0.280
Sb1 0.000 0.481 0.411
```

## Properties
The calculation puts the raw formation energy at -0.009 eV per atom. Its total moment is 0.00 μB per formula unit.